Material: SrHgRh2
Method: DFT, PBEsol
State: relaxed

## Properties
M_tot	0.000	μB/f.u.
formation enthalpy at 0 K	-0.098	eV/atom
Fermi-level density of states	0.754	states/eV per atom

Unit cell a=4.5928 b=4.5928 c=15.4981 alpha=90.00 beta=90.00 gamma=120.00
Space group R-3m (No. 166, hexagonal axes)
Asymmetric unit:
Sr1 0.0000 0.0000 0.0000
Hg1 0.0000 0.0000 0.5000
Rh1 0.0000 0.0000 0.1803